1.
The following is a GGA-PBE calculation of a geometry-optimized CsCd4As2 structure, from Alexandria.

Results
E_tot, eV per cell: -14.5
Fermi-level density of states, states/eV/atom: 0.27

Lattice parameters (Å, degrees): 9.8231 9.8231 9.8231 30.19 30.19 30.19
Atoms (fractional coordinates):
Cs: 0.0000 0.0000 0.0000
Cd: 0.1336 0.1336 0.1336
Cd: 0.4417 0.4417 0.4417
Cd: 0.5583 0.5583 0.5583
Cd: 0.8664 0.8664 0.8664
As: 0.2329 0.2329 0.2329
As: 0.7671 0.7671 0.7671



2.
The following is a GGA-PBE calculation of a geometry-optimized PrZr2Tc structure, from Alexandria.

Results
Energy above the most stable polymorph in this dataset, meV per atom: 0.0
Fermi-level density of states, states/eV/atom: 1.18

Lattice parameters (Å, degrees): 3.3519 3.3519 8.3376 90.00 90.00 90.00
Atoms (fractional coordinates):
Pr: 0.0000 0.0000 0.0000
Zr: 0.5000 0.5000 0.3138
Zr: 0.5000 0.5000 0.6862
Tc: 0.0000 0.0000 0.5000